[1]
A plane-wave DFT calculation with PBE was carried out for a relaxed In2HgPb3 crystal.

abc: 3.4476 6.5040 16.1397
angles: 90.00 96.13 90.00
Closest atoms and distances in Å follow each position.
Element x y z (fractional)
In (0.1594, 0.7500, 0.3189)  6 Pb 3.33-3.46, 2 In 3.45, 4 Hg 3.69
In (0.8406, 0.2500, 0.6811)  6 Pb 3.33-3.46, 2 In 3.45, 4 Hg 3.69
In (0.9991, 0.7500, 0.9982)  4 In 3.25-3.45, 8 Pb 3.49-3.53
In (0.0009, 0.2500, 0.0018)  4 In 3.25-3.45, 8 Pb 3.49-3.53
Hg (0.3332, 0.7500, 0.6663)  4 Pb 3.21-3.23, 2 Hg 3.45
Hg (0.6668, 0.2500, 0.3337)  4 Pb 3.21-3.23, 2 Hg 3.45
Pb (0.4194, 0.4993, 0.8388)  1 Hg 3.21, 4 Pb 3.24-3.45, 6 In 3.46-3.53
Pb (0.5806, 0.5007, 0.1612)  1 Hg 3.21, 4 Pb 3.24-3.45, 6 In 3.46-3.53
Pb (0.4194, 0.0007, 0.8388)  1 Hg 3.21, 4 Pb 3.24-3.45, 6 In 3.46-3.53
Pb (0.5806, 0.9993, 0.1612)  1 Hg 3.21, 4 Pb 3.24-3.45, 6 In 3.46-3.53
Pb (0.7482, 0.7500, 0.4964)  2 Hg 3.23, 2 In 3.33, 2 Pb 3.45
Pb (0.2518, 0.2500, 0.5036)  2 Hg 3.23, 2 In 3.33, 2 Pb 3.45

## Properties
Polymorph energy (0 for the lowest one)   41 meV/atom
Total magnetization   0.000 μB/cell
DOS(E_F)   0.46 states/eV/atom
Space-group type   Cmcm (63)
E   -33.13 eV for the cell shown
E_form   0.06 eV/atom


[2]
A plane-wave DFT calculation with PBE was carried out for a relaxed RbFe2Os crystal.

abc: 7.1906 7.1906 6.1148
angles: 53.99 53.99 90.00
Closest atoms and distances in Å follow each position.
Element x y z (fractional)
Os (0.0000, 0.0000, 0.0000)  4 Fe 2.26
Os (0.7500, 0.2500, 0.5000)  4 Fe 2.26
Fe (0.7241, 0.1250, 0.2500)  2 Os 2.26
Fe (0.0259, 0.6250, 0.2500)  2 Os 2.26
Fe (0.3750, 0.2759, 0.7500)  2 Os 2.26
Fe (0.8750, 0.9741, 0.7500)  2 Os 2.26
Rb (0.5000, 0.5000, 0.0000)  8 Fe 3.20-3.30, 2 Os 3.40
Rb (0.2500, 0.7500, 0.5000)  8 Fe 3.20-3.30, 2 Os 3.40

## Properties
Polymorph energy (0 for the lowest one)   0 meV/atom
Total magnetization   0.001 μB/cell
DOS(E_F)   1.23 states/eV/atom
Space-group type   I-42d (122)
E   -45.12 eV for the cell shown
E_form   1.64 eV/atom


Number 2 is which compound?
RbFe2Os


Among the records above, which one has the lowest DOS(E_F)?
In2HgPb3


Which of these has the highest polymorph energy (0 for the lowest one)?
In2HgPb3